CaScCu10 (GGA-PBE, relaxed); calculated total energy = -4.229 eV per atom; E_form = -0.12 eV per atom; N(E_F) = 7.766 states/eV/f.u.; total magnetic moment = 0.00 μB per cell
1.0
-3.869 -0.885 0.855
0.114 -3.734 -3.350
2.621 -5.475 6.193
Ca Sc Cu
1 1 10
Cartesian
0.000 0.000 0.000
1.368 -4.605 1.422
0.894 -1.868 2.113
2.217 -6.379 3.428
0.518 -2.831 -0.585
1.727 -3.607 4.080
-0.624 -3.180 3.524
-1.877 -2.310 -1.247
-1.228 -2.809 1.172
0.095 -7.285 2.526
-1.172 -4.638 -0.468
0.039 -5.456 4.167


TbCeThAl (GGA-PBE, relaxed); calculated total energy = -5.417 eV per atom; E_form = 0.01 eV per atom; N(E_F) = 6.913 states/eV/f.u.; total magnetic moment = 0.00 μB per cell
1.0
5.348 0.000 0.000
2.674 4.632 0.000
2.674 1.544 4.367
Tb Ce Th Al
1 1 1 1
Cartesian
0.000 0.000 0.000
8.023 4.632 3.275
5.348 3.088 2.184
2.674 1.544 1.092


Ni2AsPt (GGA-PBE, relaxed); calculated total energy = -5.670 eV per atom; E_form = -0.11 eV per atom; N(E_F) = 3.789 states/eV/f.u.; total magnetic moment = 0.00 μB per cell
1.0
-2.164 -3.483 -1.524
0.805 -0.723 4.238
-2.545 1.275 0.701
As Ni Pt
1 2 1
Cartesian
-0.870 0.276 2.470
0.000 0.000 0.000
-0.680 -2.103 1.357
-2.354 -1.104 -0.412


Er2ThCr2C4 (GGA-PBE, relaxed); calculated total energy = -8.192 eV per atom; E_form = -0.12 eV per atom; N(E_F) = 6.615 states/eV/f.u.; total magnetic moment = 0.00 μB per cell
1.0
-3.147 -0.641 0.879
3.108 -6.061 0.400
0.756 3.107 4.970
Er Th Cr C
2 1 2 4
Cartesian
-0.144 -3.425 3.293
0.861 -0.171 2.956
0.000 0.000 0.000
1.009 -4.053 0.657
-0.292 0.458 5.592
-0.114 -1.404 4.873
0.831 -2.192 1.376
1.760 -5.030 2.634
-1.044 1.434 3.615


HoEr2ScO6 (GGA-PBE, relaxed); calculated total energy = -8.533 eV per atom; formation energy (no corrections) = -3.55 eV per atom; N(E_F) = 0.000 states/eV/f.u.; total magnetic moment = 0.00 μB per cell
1.0
-1.119 -5.245 -1.812
-0.966 -4.140 3.739
-5.534 -2.069 0.566
Ho Er Sc O
1 2 1 6
Cartesian
-4.885 -8.773 1.883
-3.427 -5.811 1.252
-5.187 -2.145 0.571
-1.001 -3.062 0.637
-2.260 -4.549 -0.177
-2.521 -5.489 3.271
-3.017 -7.939 0.703
-5.339 -6.654 2.286
-5.100 -5.754 -0.370
-4.740 -3.954 1.764


ZnHPd2 (GGA-PBE, relaxed); calculated total energy = -4.019 eV per atom; excess energy over the best structure of this formula in the dataset = 36.2 meV/atom; N(E_F) = 1.561 states/eV/f.u.; total magnetic moment = 0.00 μB per cell
1.0
2.906 0.000 0.000
1.453 2.517 0.000
1.453 0.839 6.468
Zn H Pd
1 1 2
Cartesian
2.906 1.678 3.253
4.359 2.517 6.376
1.453 0.839 5.306
1.453 0.839 1.235


Tb2Pm4N (GGA-PBE, relaxed); calculated total energy = -5.431 eV per atom; formation energy (no corrections) = -0.20 eV per atom; N(E_F) = 9.022 states/eV/f.u.; total magnetic moment = 0.00 μB per cell
1.0
4.957 0.000 0.000
0.000 4.957 0.000
2.479 2.479 8.843
N Tb Pm
1 2 4
Cartesian
0.000 0.000 0.000
4.957 4.957 5.910
2.479 2.479 2.933
4.957 4.957 2.391
2.479 2.479 6.452
0.000 2.479 0.000
2.479 0.000 0.000


Sb2TeAu (GGA-PBE, relaxed); calculated total energy = -3.421 eV per atom; formation energy (no corrections) = 0.24 eV per atom; N(E_F) = 2.223 states/eV/f.u.; total magnetic moment = 0.00 μB per cell
1.0
-2.352 -2.455 1.229
-1.766 -0.769 -4.917
3.601 -3.799 -0.699
Au Sb Te
1 2 1
Cartesian
0.624 -3.127 0.265
0.000 0.000 0.000
0.917 -2.284 -2.808
-2.059 -1.612 -1.844


MnNi2HgN (GGA-PBE, relaxed); calculated total energy = -5.897 eV per atom; formation energy (no corrections) = -0.03 eV per atom; N(E_F) = 3.354 states/eV/f.u.; total magnetic moment = 3.26 μB per cell
1.0
3.949 0.000 0.000
0.000 3.949 0.000
0.000 0.000 3.908
Ni Mn Hg N
2 1 1 1
Cartesian
0.000 1.974 0.000
1.974 0.000 0.000
0.000 0.000 1.954
1.974 1.974 1.954
0.000 0.000 0.000


Tm6Se5 (GGA-PBE, relaxed); calculated total energy = -5.512 eV per atom; formation energy (no corrections) = -1.49 eV per atom; N(E_F) = 6.328 states/eV/f.u.; total magnetic moment = 0.00 μB per cell
1.0
-6.785 -1.213 -0.216
-2.516 -5.946 2.358
-2.956 2.197 5.806
Tm Se
6 5
Cartesian
-7.390 0.717 4.178
-2.351 0.267 1.412
-6.657 -2.837 5.942
-8.681 -4.631 2.775
-5.600 -2.125 2.006
-3.576 -0.330 5.172
-4.870 0.492 2.795
-3.107 -2.345 0.695
-6.194 -4.814 1.447
-4.304 -2.961 4.390
-7.953 -2.001 3.558


LaTa2Br (GGA-PBE, relaxed); calculated total energy = -6.849 eV per atom; formation energy (no corrections) = 0.73 eV per atom; excess energy over the best structure of this formula in the dataset = 800.5 meV/atom; N(E_F) = 5.029 states/eV/f.u.; total magnetic moment = 0.00 μB per cell
1.0
5.964 0.002 0.000
-3.251 5.000 0.000
0.000 0.000 3.100
La Br Ta
1 1 2
Cartesian
-1.626 2.500 1.550
2.982 0.001 1.550
0.000 0.000 0.000
1.356 2.501 0.000


Ti3TcC2 (GGA-PBE, relaxed); calculated total energy = -8.960 eV per atom; E_form = -0.21 eV per atom; N(E_F) = 3.922 states/eV/f.u.; total magnetic moment = 0.00 μB per cell
1.0
4.233 0.000 0.000
-2.117 4.824 0.000
0.000 0.000 7.228
Ti Tc C
6 2 4
Cartesian
2.117 1.145 0.439
0.000 0.925 5.421
2.117 1.145 3.175
2.117 3.899 1.807
0.000 3.679 6.789
0.000 3.679 4.054
0.000 1.919 1.807
2.117 2.905 5.421
0.000 0.000 0.000
0.000 0.000 3.614
0.000 3.958 1.807
2.117 0.866 5.421